DFT (PBEsol) results for a geometry-optimized EuO2 structure.

The structure belongs to space group Fm-3m (No. 225); the cell edges are 5.405, 5.405 and 5.405 Å and the angles 90.00°, 90.00° and 90.00°. The distinct sites, in fractional coordinates, are Eu at (0.000, 0.000, 0.000) and O at (0.250, 0.250, 0.250).

Its density is 7.74 g/cm³. The calculation puts the formation energy without anion corrections at -2340 meV/atom. For the volume, the calculation gives 13.16 A^3/atom.

DFT (PBEsol) results for a geometry-optimized Rb3CrF7 structure.

The structure belongs to space group P4/mbm (No. 127); the cell edges are 8.000, 8.000 and 5.842 Å and the angles 90.00°, 90.00° and 90.00°. The distinct sites, in fractional coordinates, are Rb at (0.000, 0.000, 0.000), Rb at (0.190, 0.310, 0.500), Cr at (0.000, 0.500, 0.000), F at (0.000, 0.000, 0.500), F at (0.112, 0.612, 0.224) and F at (0.162, 0.338, 0.000).

Its density is 3.92 g/cm³. The calculation puts the formation energy without anion corrections at -2734 meV/atom. For the volume, the calculation gives 17.00 A^3/atom.

DFT (PBEsol) results for a geometry-optimized ZnPdCl2 structure.

The structure belongs to space group R-3m (No. 166, hexagonal axes); the cell edges are 3.4274, 3.4274 and 23.6482 Å and the angles 90.00°, 90.00° and 120.00°. The distinct sites, in fractional coordinates, are Zn at (0.0000, 0.0000, 0.0000), Pd at (0.0000, 0.0000, 0.5000) and Cl at (0.0000, 0.0000, 0.0950).

Its density is 5.03 g/cm³. The calculation puts the formation energy without anion corrections at -34 meV/atom. For the volume, the calculation gives 20.05 A^3/atom.

- Among the records above, which one has the highest density?
  EuO2